# PBE with a Hubbard U Tb2PuCoO8, relaxed
data_Tb2PuCoO8
_chemical_formula_sum 'Tb2 Pu1 Co1 O8'
_cell_length_a 4.952
_cell_length_b 4.950
_cell_length_c 6.892
_cell_angle_alpha 89.99
_cell_angle_beta 90.01
_cell_angle_gamma 93.72
_space_group_name_H-M_alt 'P 1'
_space_group_IT_number 1
loop_
_space_group_symop_operation_xyz
'x,y,z'
loop_
_atom_site_label
_atom_site_type_symbol
_atom_site_fract_x
_atom_site_fract_y
_atom_site_fract_z
Tb1 Tb 0.500 0.500 0.741
Tb2 Tb 0.500 0.500 0.259
Pu1 Pu 0.000 0.000 0.000
Co1 Co 0.000 0.000 0.500
O1 O 0.180 0.815 0.224
O2 O 0.701 0.707 0.000
O3 O 0.820 0.185 0.224
O4 O 0.820 0.185 0.776
O5 O 0.299 0.293 0.000
O6 O 0.180 0.815 0.776
O7 O 0.729 0.732 0.500
O8 O 0.271 0.268 0.500
# - space-group type = P2/m, No. 10
# - total energy (eV per atom) = -8.169
# - total moment (μB/f.u.) = 5.00